Record 1
A relaxed RbDyPb2F8 crystal. Source: Alexandria, functional GGA-PBE.

The structure in CIF format:
```
data_RbDyPb2F8
_chemical_formula_sum 'Rb1 Dy1 Pb2 F8'
_symmetry_space_group_name_H-M 'P 1'
_symmetry_Int_Tables_number 1
_cell_length_a 4.135
_cell_length_b 6.076
_cell_length_c 8.352
_cell_angle_alpha 90.00
_cell_angle_beta 89.99
_cell_angle_gamma 90.06
loop_
_symmetry_equiv_pos_as_xyz
'x,y,z'
loop_
_atom_site_label
_atom_site_type_symbol
_atom_site_fract_x
_atom_site_fract_y
_atom_site_fract_z
_atom_site_occupancy
Rb1 Rb 0.000 0.000 0.500 1
Dy1 Dy 0.000 0.000 0.000 1
Pb1 Pb 0.500 0.500 0.746 1
Pb2 Pb 0.500 0.500 0.254 1
F1 F 0.000 0.757 0.207 1
F2 F 0.500 0.797 0.000 1
F3 F 0.000 0.243 0.207 1
F4 F 0.000 0.243 0.793 1
F5 F 0.500 0.203 0.000 1
F6 F 0.000 0.757 0.793 1
F7 F 0.499 0.713 0.500 1
F8 F 0.501 0.287 0.500 1
```

## Properties
Space-group type = P2/m
Crystal system = monoclinic
ρ = 6444 kg/m3
DOS(E_F) = 0.000 states/eV per atom

---

Record 2
A relaxed Dy2PdF8 crystal. Source: Alexandria, functional GGA-PBE.

The structure in CIF format:
```
data_Dy2PdF8
_chemical_formula_sum 'Dy2 Pd1 F8'
_symmetry_space_group_name_H-M 'P 1'
_symmetry_Int_Tables_number 1
_cell_length_a 3.481
_cell_length_b 5.703
_cell_length_c 7.842
_cell_angle_alpha 106.46
_cell_angle_beta 102.82
_cell_angle_gamma 90.00
loop_
_symmetry_equiv_pos_as_xyz
'x,y,z'
loop_
_atom_site_label
_atom_site_type_symbol
_atom_site_fract_x
_atom_site_fract_y
_atom_site_fract_z
_atom_site_occupancy
F1 F 0.601 0.493 0.201 1
F2 F 0.315 0.033 0.630 1
F3 F 0.218 0.336 0.435 1
F4 F 0.045 0.845 0.089 1
F5 F 0.782 0.664 0.565 1
F6 F 0.685 0.967 0.370 1
F7 F 0.399 0.507 0.799 1
F8 F 0.955 0.155 0.911 1
Pd1 Pd 0.500 0.000 0.000 1
Dy1 Dy 0.183 0.696 0.365 1
Dy2 Dy 0.817 0.304 0.635 1
```

## Properties
Space-group type = C2/m
Crystal system = monoclinic
ρ = 6669 kg/m3
DOS(E_F) = 0.295 states/eV per atom

---

Record 3
A relaxed DyPd2F11 crystal. Source: Alexandria, functional GGA-PBE.

The structure in CIF format:
```
data_DyPd2F11
_chemical_formula_sum 'Dy2 Pd4 F22'
_symmetry_space_group_name_H-M 'P 1'
_symmetry_Int_Tables_number 1
_cell_length_a 8.791
_cell_length_b 8.066
_cell_length_c 8.066
_cell_angle_alpha 66.09
_cell_angle_beta 56.98
_cell_angle_gamma 56.98
loop_
_symmetry_equiv_pos_as_xyz
'x,y,z'
loop_
_atom_site_label
_atom_site_type_symbol
_atom_site_fract_x
_atom_site_fract_y
_atom_site_fract_z
_atom_site_occupancy
Dy1 Dy 0.750 0.750 0.750 1
Dy2 Dy 0.250 0.250 0.250 1
Pd1 Pd 0.668 0.668 0.332 1
Pd2 Pd 0.332 0.332 0.668 1
Pd3 Pd 0.832 0.168 0.832 1
Pd4 Pd 0.168 0.832 0.168 1
F1 F 0.649 0.697 0.573 1
F2 F 0.351 0.303 0.427 1
F3 F 0.081 0.573 0.697 1
F4 F 0.851 0.927 0.803 1
F5 F 0.919 0.427 0.303 1
F6 F 0.149 0.073 0.197 1
F7 F 0.419 0.803 0.927 1
F8 F 0.581 0.197 0.073 1
F9 F 0.500 0.500 0.500 1
F10 F 0.000 0.000 0.000 1
F11 F 0.818 0.818 0.182 1
F12 F 0.182 0.182 0.818 1
F13 F 0.682 0.318 0.682 1
F14 F 0.318 0.682 0.318 1
F15 F 0.427 0.920 0.351 1
F16 F 0.573 0.080 0.649 1
F17 F 0.303 0.351 0.920 1
F18 F 0.073 0.149 0.580 1
F19 F 0.697 0.649 0.080 1
F20 F 0.927 0.851 0.420 1
F21 F 0.197 0.580 0.149 1
F22 F 0.803 0.420 0.851 1
```

## Properties
Space-group type = I4/mcm
Crystal system = tetragonal
ρ = 4884 kg/m3

---

Record 4
A relaxed DyPd2F8 crystal. Source: Alexandria, functional GGA-PBE.

The structure in CIF format:
```
data_DyPd2F8
_chemical_formula_sum 'Dy1 Pd2 F8'
_symmetry_space_group_name_H-M 'P 1'
_symmetry_Int_Tables_number 1
_cell_length_a 4.992
_cell_length_b 7.113
_cell_length_c 5.988
_cell_angle_alpha 126.46
_cell_angle_beta 86.06
_cell_angle_gamma 89.98
loop_
_symmetry_equiv_pos_as_xyz
'x,y,z'
loop_
_atom_site_label
_atom_site_type_symbol
_atom_site_fract_x
_atom_site_fract_y
_atom_site_fract_z
_atom_site_occupancy
F1 F 0.254 0.587 0.174 1
F2 F 0.746 0.413 0.826 1
F3 F 0.756 0.894 0.226 1
F4 F 0.252 0.174 0.348 1
F5 F 0.244 0.668 0.774 1
F6 F 0.244 0.106 0.774 1
F7 F 0.748 0.826 0.652 1
F8 F 0.756 0.332 0.226 1
Pd1 Pd 0.254 0.382 0.764 1
Pd2 Pd 0.746 0.618 0.236 1
Dy1 Dy 0.000 0.000 0.000 1
```

## Properties
Space-group type = C2/m
Crystal system = monoclinic
ρ = 5140 kg/m3
DOS(E_F) = 0.253 states/eV per atom

---

| no. | calculated total energy (eV per atom) |
| --- | --- |
| 1 | -5.361 |
| 2 | -5.912 |
| 3 | -4.520 |
| 4 | -4.943 |